# LiCe2Pt

An optimized crystal structure of LiCe2Pt (PBE, the Alexandria database).

Lattice parameters (Å, degrees): 4.0309 4.0309 8.8238 76.78 76.78 60.03
With the nearest neighbours (Å) after each atom.
Element x y z (fractional)
Li  0.5002  0.5002  0.4995  6 Ce 3.48
Ce  0.0653  0.0653  0.8040  3 Pt 2.86-2.87
Ce  0.2680  0.2680  0.1959  3 Pt 2.86
Pt  0.6665  0.6665  0.0006  6 Ce 2.86-2.87

Results
Calculated volume, Å³ per cell: 119.8
Electronic total energy, eV/atom: -5.256
Symmetry: R3m, No. 160
Energy of formation, eV/atom: -0.30



# BaAc2MnN4

An optimized crystal structure of BaAc2MnN4 (PBE, the Alexandria database).

Lattice parameters (Å, degrees): 3.7558 6.7881 12.7212 90.00 90.00 106.06
With the nearest neighbours (Å) after each atom.
Element x y z (fractional)
Ba  0.1059  0.2118  0.7500  4 N 2.95
Ba  0.8941  0.7882  0.2500  4 N 2.95
Ac  0.3691  0.7382  0.5441  6 N 2.60-2.78
Ac  0.6309  0.2618  0.0441  6 N 2.60-2.78
Ac  0.6309  0.2618  0.4559  6 N 2.60-2.78
Ac  0.3691  0.7382  0.9559  6 N 2.60-2.78
Mn  0.8151  0.6302  0.7500  4 N 1.81-2.03
Mn  0.1849  0.3698  0.2500  4 N 1.81-2.03
N  0.2624  0.5248  0.1321  1 Mn 1.81
N  0.7376  0.4752  0.6321  1 Mn 1.81
N  0.7376  0.4752  0.8679  1 Mn 1.81
N  0.2624  0.5248  0.3679  1 Mn 1.81
N  0.0000  0.0000  0.5000  4 Ac 2.60
N  0.0000  0.0000  0.0000  4 Ac 2.60
N  0.3734  0.7468  0.7500  2 Mn 2.03
N  0.6266  0.2532  0.2500  2 Mn 2.03

Results
Calculated volume, Å³ per cell: 311.7
Electronic total energy, eV/atom: -7.354
Symmetry: Cmcm, No. 63



# PrHo7Tm3

An optimized crystal structure of PrHo7Tm3 (PBE, the Alexandria database).

Lattice parameters (Å, degrees): 8.5389 7.0203 7.0203 120.00 90.00 90.00
With the nearest neighbours (Å) after each atom.
Element x y z (fractional)
Pr  0.4460  0.3333  0.6667  9 Ho 3.47-3.51, 3 Tm 3.54
Ho  0.1151  0.1679  0.8321  1 Pr 3.47, 2 Tm 3.47, 8 Ho 3.48-3.54
Ho  0.1151  0.1679  0.3358  1 Pr 3.47, 2 Tm 3.47, 8 Ho 3.48-3.54
Ho  0.1188  0.6667  0.3333  9 Ho 3.47-3.51, 3 Tm 3.49
Ho  0.4499  0.8319  0.1681  7 Ho 3.47-3.54, 2 Tm 3.50, 2 Pr 3.51
Ho  0.4499  0.3362  0.1681  7 Ho 3.47-3.54, 2 Tm 3.50, 2 Pr 3.51
Ho  0.4499  0.8319  0.6638  7 Ho 3.47-3.54, 2 Tm 3.50, 2 Pr 3.51
Ho  0.1151  0.6642  0.8321  1 Pr 3.47, 2 Tm 3.47, 8 Ho 3.48-3.54
Tm  0.7851  0.5009  0.4991  5 Ho 3.47-3.50, 4 Tm 3.49-3.53, 1 Pr 3.54
Tm  0.7851  0.5009  0.0017  5 Ho 3.47-3.50, 4 Tm 3.49-3.53, 1 Pr 3.54
Tm  0.7851  0.9983  0.4991  5 Ho 3.47-3.50, 4 Tm 3.49-3.53, 1 Pr 3.54

Results
Calculated volume, Å³ per cell: 364.5
Electronic total energy, eV/atom: -4.366
Symmetry: P3m1, No. 156
Energy of formation, eV/atom: 0.20
ΔE to the lowest computed polymorph, kJ/mol of formula units: 56



# LiY2Ag

An optimized crystal structure of LiY2Ag (PBE, the Alexandria database).

Lattice parameters (Å, degrees): 8.1576 8.1576 6.5839 51.72 51.72 90.00
With the nearest neighbours (Å) after each atom.
Element x y z (fractional)
Y  0.6419  0.1250  0.2500  2 Ag 2.90, 2 Li 3.09, 2 Y 3.19
Y  0.1081  0.6250  0.2500  2 Ag 2.90, 2 Li 3.09, 2 Y 3.19
Y  0.3750  0.3581  0.7500  2 Ag 2.90, 2 Li 3.09, 2 Y 3.19
Y  0.8750  0.8919  0.7500  2 Ag 2.90, 2 Li 3.09, 2 Y 3.19
Ag  0.0000  0.0000  0.0000  4 Y 2.90, 2 Li 3.17
Ag  0.7500  0.2500  0.5000  4 Y 2.90, 2 Li 3.17
Li  0.5000  0.5000  0.0000  4 Y 3.09, 2 Ag 3.17
Li  0.2500  0.7500  0.5000  4 Y 3.09, 2 Ag 3.17

Results
Calculated volume, Å³ per cell: 211.2
Electronic total energy, eV/atom: -4.224
Symmetry: I-42d, No. 122
Energy of formation, eV/atom: 0.20
ΔE to the lowest computed polymorph, kJ/mol of formula units: 125



# Ba2Zn4CdHg3

An optimized crystal structure of Ba2Zn4CdHg3 (PBE, the Alexandria database).

Lattice parameters (Å, degrees): 4.8225 4.8225 11.1382 90.00 90.00 90.00
With the nearest neighbours (Å) after each atom.
Element x y z (fractional)
Ba  0.5000  0.0000  0.2435  8 Zn 3.63-3.69, 6 Hg 3.66-3.74, 2 Cd 3.74
Ba  0.0000  0.5000  0.7565  8 Zn 3.63-3.69, 6 Hg 3.66-3.74, 2 Cd 3.74
Zn  0.5000  0.5000  0.0000  4 Hg 2.78
Zn  0.0000  0.0000  0.0000  4 Hg 2.78
Zn  0.5000  0.0000  0.6307  3 Hg 2.73-2.82, 2 Cd 2.82
Zn  0.0000  0.5000  0.3693  3 Hg 2.73-2.82, 2 Cd 2.82
Cd  0.5000  0.5000  0.5000  4 Zn 2.82
Hg  0.0000  0.0000  0.5000  4 Zn 2.82
Hg  0.5000  0.0000  0.8758  5 Zn 2.73-2.78
Hg  0.0000  0.5000  0.1242  5 Zn 2.73-2.78

Results
Calculated volume, Å³ per cell: 259.0
Electronic total energy, eV/atom: -1.339
Symmetry: P-4m2, No. 115
Energy of formation, eV/atom: -0.26



# Er7Sb2Pd2

An optimized crystal structure of Er7Sb2Pd2 (PBE, the Alexandria database).

Lattice parameters (Å, degrees): 6.8734 6.8970 6.8734 90.00 102.23 90.00
With the nearest neighbours (Å) after each atom.
Element x y z (fractional)
Er  0.9998  0.2525  0.5003  2 Pd 2.79
Er  0.5003  0.7475  0.9998  2 Pd 2.79
Er  0.0002  0.7475  0.4997  2 Pd 2.79
Er  0.4997  0.2525  0.0002  2 Pd 2.79
Er  0.0000  0.0000  0.0000  2 Pd 2.99
Er  0.5002  0.7589  0.4998  2 Pd 2.88-2.89, 2 Sb 3.16
Er  0.4998  0.2411  0.5002  2 Pd 2.88-2.89, 2 Sb 3.16
Sb  0.8014  0.5000  0.8014  6 Er 3.16-3.21, 1 Sb 3.43
Sb  0.1986  0.5000  0.1986  6 Er 3.16-3.21, 1 Sb 3.43
Pd  0.7202  0.0000  0.2798  7 Er 2.79-2.99
Pd  0.2798  0.0000  0.7202  7 Er 2.79-2.99

Results
Calculated volume, Å³ per cell: 318.4
Electronic total energy, eV/atom: -5.115
Symmetry: Cmmm, No. 65
ΔE to the lowest computed polymorph, kJ/mol of formula units: 232



# NbNi2Cl

An optimized crystal structure of NbNi2Cl (PBE, the Alexandria database).

Lattice parameters (Å, degrees): 6.7745 6.7745 5.4019 51.17 51.17 90.00
With the nearest neighbours (Å) after each atom.
Element x y z (fractional)
Ni  0.6015  0.1250  0.2500  2 Cl 2.37, 2 Ni 2.52, 2 Nb 2.59
Ni  0.1485  0.6250  0.2500  2 Cl 2.37, 2 Ni 2.52, 2 Nb 2.59
Ni  0.3750  0.3985  0.7500  2 Cl 2.37, 2 Ni 2.52, 2 Nb 2.59
Ni  0.8750  0.8515  0.7500  2 Cl 2.37, 2 Ni 2.52, 2 Nb 2.59
Nb  0.0000  0.0000  0.0000  2 Cl 2.50, 4 Ni 2.59
Nb  0.7500  0.2500  0.5000  2 Cl 2.50, 4 Ni 2.59
Cl  0.5000  0.5000  0.0000  4 Ni 2.37, 2 Nb 2.50
Cl  0.2500  0.7500  0.5000  4 Ni 2.37, 2 Nb 2.50

Results
Calculated volume, Å³ per cell: 114.6
Electronic total energy, eV/atom: -5.643
Symmetry: I-42d, No. 122
ΔE to the lowest computed polymorph, kJ/mol of formula units: 0



# RbUCoS3

An optimized crystal structure of RbUCoS3 (PBE, the Alexandria database).

Lattice parameters (Å, degrees): 3.8410 9.1544 9.2811 111.98 90.00 90.00
With the nearest neighbours (Å) after each atom.
Element x y z (fractional)
Rb  0.2500  0.2056  0.2442  7 S 3.38-3.44
Rb  0.7500  0.7944  0.7558  7 S 3.38-3.44
U  0.2500  0.6804  0.1626  6 S 2.63-2.74
U  0.7500  0.3196  0.8374  6 S 2.63-2.74
Co  0.2500  0.0816  0.5915  4 S 2.23-2.29
Co  0.7500  0.9184  0.4085  4 S 2.23-2.29
S  0.7500  0.8758  0.1492  1 Co 2.29
S  0.2500  0.1242  0.8508  1 Co 2.29
S  0.2500  0.8213  0.4673  3 Co 2.23-2.27
S  0.7500  0.1787  0.5327  3 Co 2.23-2.27
S  0.7500  0.4656  0.1549  3 U 2.73-2.74
S  0.2500  0.5344  0.8451  3 U 2.73-2.74

Results
Calculated volume, Å³ per cell: 302.6
Electronic total energy, eV/atom: -6.416
Symmetry: P2_1/m, No. 11



# La12Nd7Tm

An optimized crystal structure of La12Nd7Tm (PBE, the Alexandria database).

Lattice parameters (Å, degrees): 8.9584 8.9584 8.9584 89.74 89.74 89.74
With the nearest neighbours (Å) after each atom.
Element x y z (fractional)
La  0.8543  0.2530  0.7216  3 La 3.28-3.51, 1 Tm 3.61, 1 Nd 3.67
La  0.7470  0.2784  0.1457  3 La 3.28-3.51, 1 Tm 3.61, 1 Nd 3.67
La  0.5999  0.1447  0.4838  4 La 3.17-3.51, 1 Nd 3.31
La  0.8553  0.5162  0.4001  4 La 3.17-3.51, 1 Nd 3.31
La  0.2784  0.1457  0.7470  3 La 3.28-3.51, 1 Tm 3.61, 1 Nd 3.67
La  0.5162  0.4001  0.8553  4 La 3.17-3.51, 1 Nd 3.31
La  0.4838  0.5999  0.1447  4 La 3.17-3.51, 1 Nd 3.31
La  0.7216  0.8543  0.2530  3 La 3.28-3.51, 1 Tm 3.61, 1 Nd 3.67
La  0.1447  0.4838  0.5999  4 La 3.17-3.51, 1 Nd 3.31
La  0.4001  0.8553  0.5162  4 La 3.17-3.51, 1 Nd 3.31
La  0.2530  0.7216  0.8543  3 La 3.28-3.51, 1 Tm 3.61, 1 Nd 3.67
La  0.1457  0.7470  0.2784  3 La 3.28-3.51, 1 Tm 3.61, 1 Nd 3.67
Nd  0.8636  0.6173  0.9276  3 Nd 3.47-3.59, 5 La 3.67-3.82, 1 Tm 3.71
Nd  0.3827  0.0724  0.1364  3 Nd 3.47-3.59, 5 La 3.67-3.82, 1 Tm 3.71
Nd  0.0724  0.1364  0.3827  3 Nd 3.47-3.59, 5 La 3.67-3.82, 1 Tm 3.71
Nd  0.5000  0.5000  0.5000  6 La 3.31
Nd  0.9276  0.8636  0.6173  3 Nd 3.47-3.59, 5 La 3.67-3.82, 1 Tm 3.71
Nd  0.6173  0.9276  0.8636  3 Nd 3.47-3.59, 5 La 3.67-3.82, 1 Tm 3.71
Nd  0.1364  0.3827  0.0724  3 Nd 3.47-3.59, 5 La 3.67-3.82, 1 Tm 3.71
Tm  0.0000  0.0000  0.0000  6 La 3.61, 6 Nd 3.71

Results
Calculated volume, Å³ per cell: 718.9
Electronic total energy, eV/atom: -4.671
Symmetry: R-3, No. 148
Energy of formation, eV/atom: 0.18
ΔE to the lowest computed polymorph, kJ/mol of formula units: 16



# NaInIO2

An optimized crystal structure of NaInIO2 (PBE, the Alexandria database).

Lattice parameters (Å, degrees): 4.2346 4.2346 6.3107 90.00 90.00 90.00
With the nearest neighbours (Å) after each atom.
Element x y z (fractional)
I  0.0000  0.0000  0.5000  4 Na 2.99, 2 In 3.16
Na  0.5000  0.5000  0.5000  4 I 2.99
O  0.0000  0.5000  0.0000  2 In 2.12
O  0.5000  0.0000  0.0000  2 In 2.12
In  0.0000  0.0000  0.0000  4 O 2.12

Results
Calculated volume, Å³ per cell: 113.2
Electronic total energy, eV/atom: -3.812
Symmetry: P4/mmm, No. 123
ΔE to the lowest computed polymorph, kJ/mol of formula units: 0